1.
BaIrOs2: relaxed, PBE.

The structure in POSCAR format:
```
BaIrOs2
1.0
2.8555 -5.1534 0.0000
2.8555 5.1534 0.0000
-1.2567 0.0000 2.5754
Ba Ir Os
1 1 2
Direct
0.0000 0.0000 0.0000
0.5000 0.5000 0.0000
0.0000 0.5000 0.5000
0.5000 0.0000 0.5000
```

Summary:
formation energy: 1421 meV per atom
energy above the most stable polymorph in this dataset: 1140.8 meV/atom
calculated volume: 18.949 Å³ per atom
space group: C2/m, No. 12

=====

2.
MgPaMnN4: relaxed, PBE.

The structure in POSCAR format:
```
MgPaMnN4
1.0
5.9865 0.0000 0.0000
0.0000 5.4761 0.0000
-0.5185 0.0000 6.4264
Mg Pa Mn N
2 2 2 8
Direct
0.1181 0.2500 0.1553
0.8819 0.7500 0.8447
0.3260 0.2500 0.6046
0.6740 0.7500 0.3954
0.1709 0.7500 0.3384
0.8291 0.2500 0.6616
0.0686 0.7500 0.5763
0.0716 0.2500 0.8399
0.3625 0.5026 0.3164
0.3625 0.9974 0.3164
0.6375 0.0026 0.6836
0.6375 0.4974 0.6836
0.9284 0.7500 0.1601
0.9314 0.2500 0.4237
```

Summary:
energy: -8.3507 eV/atom
calculated volume: 15.048 Å³ per atom
space group: P2_1/m, No. 11

=====

3.
CsHgBF6: relaxed, PBE.

The structure in POSCAR format:
```
CsHgBF6
1.0
2.7009 -5.9464 0.0000
2.7009 5.9464 0.0000
-0.6969 0.0000 6.0294
Cs Hg B F
1 1 1 6
Direct
0.0000 0.0000 0.0000
0.7030 0.2970 0.5000
0.4165 0.5835 0.5000
0.1899 0.4902 0.3532
0.3391 0.3663 0.6251
0.4963 0.0951 0.2020
0.5098 0.8101 0.6468
0.6337 0.6609 0.3749
0.9049 0.5037 0.7980
```

Summary:
energy: -4.5634 eV/atom
calculated volume: 21.519 Å³ per atom
space group: C2, No. 5

=====

4.
LaYSc: relaxed, PBE.

The structure in POSCAR format:
```
LaYSc
1.0
3.5442 0.0000 0.0000
-1.7721 3.0693 0.0000
0.0000 0.0000 8.5204
La Y Sc
1 1 1
Direct
0.0000 0.0000 0.0000
0.3333 0.6667 0.6412
0.6667 0.3333 0.3261
```

Summary:
formation energy: 59 meV per atom
energy above the most stable polymorph in this dataset: 14.1 meV/atom
calculated volume: 30.896 Å³ per atom
space group: P3m1, No. 156

=====

5.
La2ScTlFe: relaxed, PBE.

The structure in POSCAR format:
```
La2ScTlFe
1.0
5.1506 0.0000 0.0000
0.0000 5.1506 0.0000
0.0000 0.0000 5.1260
La Sc Tl Fe
2 1 1 1
Direct
0.0000 0.5000 0.0000
0.5000 0.0000 0.0000
0.0000 0.0000 0.5000
0.5000 0.5000 0.5000
0.0000 0.0000 0.0000
```

Summary:
formation energy: -112 meV per atom
calculated volume: 27.197 Å³ per atom
space group: P4/mmm, No. 123

=====

6.
PmSmSnHg: relaxed, PBE.

The structure in POSCAR format:
```
PmSmSnHg
1.0
3.8494 0.0000 0.0000
0.0000 3.8494 0.0000
0.0000 0.0000 7.5429
Pm Sm Sn Hg
1 1 1 1
Direct
0.0000 0.0000 0.0000
0.0000 0.0000 0.5075
0.5000 0.5000 0.2554
0.5000 0.5000 0.7509
```

Summary:
formation energy: -578 meV per atom
energy above the most stable polymorph in this dataset: 20.8 meV/atom
calculated volume: 27.943 Å³ per atom
space group: P4mm, No. 99

=====

7.
Al2TlGaAs: relaxed, PBE.

The structure in POSCAR format:
```
Al2TlGaAs
1.0
4.8750 0.0000 0.0000
0.0000 4.8750 0.0000
0.0000 0.0000 5.2743
Al Tl Ga As
2 1 1 1
Direct
0.0000 0.5000 0.0000
0.5000 0.0000 0.0000
0.0000 0.0000 0.5000
0.0000 0.0000 0.0000
0.5000 0.5000 0.5000
```

Summary:
formation energy: 552 meV per atom
calculated volume: 25.069 Å³ per atom
space group: P4/mmm, No. 123

=====

8.
HfAs2HF: relaxed, PBE.

The structure in POSCAR format:
```
HfAs2HF
1.0
3.9174 0.0000 0.0000
0.0000 3.9174 0.0000
0.0000 0.0000 4.4606
Hf As H F
1 2 1 1
Direct
0.0000 0.0000 0.0000
0.0000 0.5000 0.5000
0.5000 0.0000 0.5000
0.5000 0.5000 0.5000
0.5000 0.5000 0.0000
```

Summary:
energy: -5.3391 eV/atom
calculated volume: 13.690 Å³ per atom
space group: P4/mmm, No. 123